# Li2TaTe PBE relaxed
data_Li2TaTe
_space_group_name_H-M_alt 'R 3 m'
_space_group_IT_number 160
_space_group_name_Hall 'R 3 -2"'
_cell_length_a 3.3562
_cell_length_b 3.3562
_cell_length_c 27.6992
_cell_angle_alpha 90.00
_cell_angle_beta 90.00
_cell_angle_gamma 120.00
loop_
_atom_site_label
_atom_site_fract_x
_atom_site_fract_y
_atom_site_fract_z
Li1 0.0000 0.0000 0.0000
Li2 0.0000 0.0000 0.2390
Ta1 0.0000 0.0000 0.7514
Te1 0.0000 0.0000 0.4883
# Total energy in eV/atom: -4.549

---

# HfTlSi2 PBE relaxed
data_HfTlSi2
_space_group_name_H-M_alt 'F m -3 m'
_space_group_IT_number 225
_space_group_name_Hall '-F 4 2 3'
_cell_length_a 6.847
_cell_length_b 6.847
_cell_length_c 6.847
_cell_angle_alpha 90.00
_cell_angle_beta 90.00
_cell_angle_gamma 90.00
loop_
_atom_site_label
_atom_site_fract_x
_atom_site_fract_y
_atom_site_fract_z
Hf1 0.000 0.000 0.000
Tl1 0.000 0.000 0.500
Si1 0.250 0.250 0.250
# Offset from the most stable computed form in meV/atom: 44.6

---

# TaMn2Re PBE relaxed
data_TaMn2Re
_space_group_name_H-M_alt 'P 1 2/m 1'
_space_group_IT_number 10
_space_group_name_Hall '-P 2y'
_cell_length_a 2.699
_cell_length_b 4.098
_cell_length_c 5.222
_cell_angle_alpha 90.00
_cell_angle_beta 102.04
_cell_angle_gamma 90.00
loop_
_atom_site_label
_atom_site_fract_x
_atom_site_fract_y
_atom_site_fract_z
Ta1 0.000 0.000 0.000
Mn1 0.251 0.500 0.740
Re1 0.500 0.000 0.500
# Offset from the most stable computed form in meV/atom: 54.5
# Energy relative to the elements in meV per atom: 32

---

# BeIn2Br PBE relaxed
data_BeIn2Br
_space_group_name_H-M_alt 'P 4/m m m'
_space_group_IT_number 123
_space_group_name_Hall '-P 4 2'
_cell_length_a 3.413
_cell_length_b 3.413
_cell_length_c 7.797
_cell_angle_alpha 90.00
_cell_angle_beta 90.00
_cell_angle_gamma 90.00
loop_
_atom_site_label
_atom_site_fract_x
_atom_site_fract_y
_atom_site_fract_z
Be1 0.000 0.000 0.000
In1 0.500 0.500 0.204
Br1 0.000 0.000 0.500
# Offset from the most stable computed form in meV/atom: 224.4

---

no.,calculated density (Mg/m³)
1,5.94
2,9.08
3,14.02
4,5.83